The following is a DFT calculation (PBE) of Zn2ReRu after structural relaxation. Values from VASP.

Geometry as Quantum ESPRESSO input:
```
&SYSTEM
  ibrav = 0, nat = 4, ntyp = 3
/
ATOMIC_SPECIES
Re 186.21 Re.upf
Ru 101.07 Ru.upf
Zn 65.41 Zn.upf
ATOMIC_POSITIONS crystal
Re 0.5000 0.2500 0.2500
Ru 0.5000 0.7500 0.7500
Zn 0.0000 0.9766 0.9980
Zn 0.0000 0.5234 0.5020
CELL_PARAMETERS angstrom
4.3858 0.0000 0.0000
0.0000 2.7007 0.0072
0.0000 0.6134 4.8653
```

The magnetic moment is 0.083 μB/atom. Its energy is -5.84 eV per atom. Its formation enthalpy at 0 K is 226 meV per atom.

***

The following is a DFT calculation (PBE) of Tc3BiI after structural relaxation. Values from VASP.

Geometry as Quantum ESPRESSO input:
```
&SYSTEM
  ibrav = 0, nat = 5, ntyp = 3
/
ATOMIC_SPECIES
I 126.90 I.upf
Bi 208.98 Bi.upf
Tc 98.00 Tc.upf
ATOMIC_POSITIONS crystal
I 0.0000 0.0000 0.0000
Bi 0.5000 0.5000 0.5000
Tc 0.0000 0.5000 0.0000
Tc 0.0000 0.0000 0.5000
Tc 0.5000 0.0000 0.0000
CELL_PARAMETERS angstrom
-0.8274 -2.7154 -3.9688
-1.2759 -3.7588 2.8377
-4.6365 1.5189 -0.0727
```

The formation energy without anion corrections is 873.6 kJ/mol of formula units. The magnetic moment is 0.370 μB/atom. Its energy is -5.50 eV per atom.

***

The following is a DFT calculation (PBE) of Al7Ga after structural relaxation. Values from VASP.

Geometry as Quantum ESPRESSO input:
```
&SYSTEM
  ibrav = 0, nat = 8, ntyp = 2
/
ATOMIC_SPECIES
Al 26.98 Al.upf
Ga 69.72 Ga.upf
ATOMIC_POSITIONS crystal
Al 0.5000 0.5000 0.0000
Al 0.5000 0.0000 0.5000
Al 0.0000 0.5000 0.5000
Al 0.5000 0.0000 0.0000
Al 0.0000 0.5000 0.0000
Al 0.0000 0.0000 0.5000
Al 0.5000 0.5000 0.5000
Ga 0.0000 0.0000 0.0000
CELL_PARAMETERS angstrom
5.7374 0.0000 0.0000
2.8687 4.9687 0.0000
2.8687 1.6562 4.6845
```

The magnetic moment is 0.000 μB/atom. Its energy is -3.62 eV per atom. Its formation enthalpy at 0 K is 31 meV per atom.

***

The following is a DFT calculation (PBE) of Na2TlBiTe after structural relaxation. Values from VASP.

Geometry as Quantum ESPRESSO input:
```
&SYSTEM
  ibrav = 0, nat = 5, ntyp = 4
/
ATOMIC_SPECIES
Na 22.99 Na.upf
Tl 204.38 Tl.upf
Te 127.60 Te.upf
Bi 208.98 Bi.upf
ATOMIC_POSITIONS crystal
Na 0.0000 0.0000 0.5000
Na 0.5000 0.0000 0.0000
Tl 0.0000 0.5000 0.0000
Te 0.5000 0.5000 0.5000
Bi 0.0000 0.0000 0.0000
CELL_PARAMETERS angstrom
-1.9721 -5.4496 1.2637
5.1957 -2.2525 -1.6053
1.9698 0.5776 5.5651
```

The formation energy without anion corrections is -2.0 kJ/mol of formula units. The magnetic moment is 0.201 μB/atom. Its energy is -2.41 eV per atom.

***

The following is a DFT calculation (PBE) of SmGePd after structural relaxation. Values from VASP.

Geometry as Quantum ESPRESSO input:
```
&SYSTEM
  ibrav = 0, nat = 3, ntyp = 3
/
ATOMIC_SPECIES
Ge 72.64 Ge.upf
Sm 150.36 Sm.upf
Pd 106.42 Pd.upf
ATOMIC_POSITIONS crystal
Ge 0.9566 0.9566 0.9133
Sm 0.6247 0.6247 0.2494
Pd 0.2686 0.2686 0.5373
CELL_PARAMETERS angstrom
3.8998 0.0000 0.0000
0.0000 3.8998 0.0000
-1.9499 -1.9499 4.3422
```

The magnetic moment is 0.000 μB/atom. Its energy is -5.37 eV per atom. Its formation enthalpy at 0 K is -524 meV per atom.

***

The following is a DFT calculation (PBE) of Pr2InSe5 after structural relaxation. Values from VASP.

Geometry as Quantum ESPRESSO input:
```
&SYSTEM
  ibrav = 0, nat = 16, ntyp = 3
/
ATOMIC_SPECIES
Pr 140.91 Pr.upf
In 114.82 In.upf
Se 78.96 Se.upf
ATOMIC_POSITIONS crystal
Pr 0.8346 0.6693 0.4272
Pr 0.8346 0.6693 0.0728
Pr 0.1654 0.3307 0.5728
Pr 0.1654 0.3307 0.9272
In 0.8264 0.6528 0.7500
In 0.1736 0.3472 0.2500
Se 0.9673 0.9345 0.8972
Se 0.9673 0.9345 0.6028
Se 0.3010 0.6021 0.4061
Se 0.3010 0.6021 0.0939
Se 0.7069 0.4137 0.2500
Se 0.2931 0.5863 0.7500
Se 0.6990 0.3979 0.5939
Se 0.6990 0.3979 0.9061
Se 0.0327 0.0655 0.1028
Se 0.0327 0.0655 0.3972
CELL_PARAMETERS angstrom
5.8377 0.0000 0.0000
-2.9188 7.3482 0.0000
0.0000 0.0000 13.0415
```

The formation energy without anion corrections is -891.2 kJ/mol of formula units. The magnetic moment is 0.000 μB/atom. Its energy is -4.87 eV per atom.

***

In the order shown, the computed D(E_F) values come out to 3.24 6.53 5.89 6.52 1.24 6.40 states/eV/f.u..